VASP calculation (GGA-PBE) on a geometry-optimized MnIn2Hg structure. Values from VASP.

Quantum ESPRESSO input file:
```
&SYSTEM
  ibrav = 0, nat = 4, ntyp = 3
/
ATOMIC_SPECIES
Hg 200.59 Hg.upf
In 114.82 In.upf
Mn 54.94 Mn.upf
ATOMIC_POSITIONS angstrom
Hg -17.134 -4.272 11.948
In -0.058 -0.015 0.041
In -5.445 -1.357 3.797
Mn -11.256 -2.806 7.849
CELL_PARAMETERS angstrom
-8.457 -0.383 4.459
-7.657 -3.626 4.447
-6.481 -1.624 6.850
```

## Properties
ΔE_f (eV per atom): 0.219
Electronic total energy (eV/f.u.): -14.1
SG: R3m (160)
Calculated volume (Å³/f.u.): 90.6